Version i
First-principles (PBE-GGA) data for a relaxed RbTc crystal, as listed in OQMD via LeMat-Bulk.

a b c (Å): 2.9243 2.9243 5.9910
angles (deg): 90.00 90.00 120.00
Fractional positions:
Rb 0.0000 0.0000 0.0000
Tc 0.6667 0.3333 0.5000

Output
total moment	0.00	μB per atom
ρ	6.9	g/cm3


Version ii
First-principles (PBE-GGA) data for a relaxed RbTc crystal, as listed in OQMD via LeMat-Bulk.

a b c (Å): 4.9928 4.9928 4.9928
angles (deg): 60.00 60.00 60.00
Fractional positions:
Rb 0.0000 0.0000 0.0000
Tc 0.5000 0.5000 0.5000

Output
total moment	2.00	μB per atom
ρ	3.5	g/cm3


Version iii
First-principles (PBE-GGA) data for a relaxed RbTc crystal, as listed in OQMD via LeMat-Bulk.

a b c (Å): 6.2406 6.2406 4.4733
angles (deg): 90.00 90.00 120.00
Fractional positions:
Rb 0.3333 0.6667 0.2500
Rb 0.6667 0.3333 0.7500
Tc 0.0000 0.0000 0.0000
Tc 0.0000 0.0000 0.5000

Output
total moment	0.00	μB per atom
ρ	4.0	g/cm3


Version iv
First-principles (PBE-GGA) data for a relaxed RbTc crystal, as listed in OQMD via LeMat-Bulk.

a b c (Å): 5.7731 5.7731 5.7731
angles (deg): 60.00 60.00 60.00
Fractional positions:
Rb 0.0000 0.0000 0.0000
Tc 0.7500 0.7500 0.7500

Output
total moment	2.00	μB per atom
ρ	2.2	g/cm3


Energetically preferred structure: version iii | next structure: +0.404 eV/atom


Version i
First-principles (PBE-GGA) data for a relaxed RbTlTc crystal, as listed in OQMD via LeMat-Bulk.

a b c (Å): 5.4564 5.4564 5.4564
angles (deg): 60.00 60.00 60.00
Fractional positions:
Rb 0.0000 0.0000 0.0000
Tl 0.2500 0.2500 0.2500
Tc 0.7500 0.7500 0.7500

Output
total moment	1.11	μB per atom
ρ	5.6	g/cm3


Version ii
First-principles (PBE-GGA) data for a relaxed RbTlTc crystal, as listed in OQMD via LeMat-Bulk.

a b c (Å): 5.1712 5.1712 5.1712
angles (deg): 60.00 60.00 60.00
Fractional positions:
Rb 0.0000 0.0000 0.0000
Tl 0.5000 0.5000 0.5000
Tc 0.7500 0.7500 0.7500

Output
total moment	0.94	μB per atom
ρ	6.6	g/cm3


Energetically preferred structure: version ii | next structure: +0.443 eV/atom


Version i
First-principles (PBE-GGA) data for a relaxed RbTmZrTe3 crystal, as listed in OQMD via LeMat-Bulk.

a b c (Å): 8.8247 8.8247 11.2342
angles (deg): 90.00 90.00 150.71
Fractional positions:
Rb 0.2416 0.7584 0.7500
Rb 0.7584 0.2416 0.2500
Tm 0.4779 0.5221 0.2500
Tm 0.5221 0.4779 0.7500
Zr 0.0000 0.0000 0.0000
Zr 0.0000 0.0000 0.5000
Te 0.0850 0.9150 0.2500
Te 0.3804 0.6196 0.0386
Te 0.3804 0.6196 0.4614
Te 0.6196 0.3804 0.5386
Te 0.6196 0.3804 0.9614
Te 0.9150 0.0850 0.7500

Output
total moment	0.29	μB per atom
ρ	5.7	g/cm3


Version ii
First-principles (PBE-GGA) data for a relaxed RbTmZrTe3 crystal, as listed in OQMD via LeMat-Bulk.

a b c (Å): 8.7219 8.7219 11.4871
angles (deg): 90.00 90.00 150.47
Fractional positions:
Rb 0.2490 0.7510 0.7500
Rb 0.7510 0.2490 0.2500
Tm 0.5000 0.5000 0.0000
Tm 0.5000 0.5000 0.5000
Zr 0.0335 0.9665 0.2500
Zr 0.9665 0.0335 0.7500
Te 0.1245 0.8755 0.0456
Te 0.1245 0.8755 0.4544
Te 0.4278 0.5722 0.2500
Te 0.5722 0.4278 0.7500
Te 0.8755 0.1245 0.5456
Te 0.8755 0.1245 0.9544

Output
total moment	0.13	μB per atom
ρ	5.6	g/cm3


Energetically preferred structure: version ii | next structure: +0.030 eV/atom


Version i
First-principles (PBE-GGA) data for a relaxed RbTeW crystal, as listed in OQMD via LeMat-Bulk.

a b c (Å): 5.2638 5.2638 5.2638
angles (deg): 60.00 60.00 60.00
Fractional positions:
Rb 0.0000 0.0000 0.0000
Te 0.5000 0.5000 0.5000
W 0.2500 0.2500 0.2500

Output
total moment	1.63	μB per atom
ρ	6.4	g/cm3


Version ii
First-principles (PBE-GGA) data for a relaxed RbTeW crystal, as listed in OQMD via LeMat-Bulk.

a b c (Å): 5.4849 5.4849 5.4849
angles (deg): 60.00 60.00 60.00
Fractional positions:
Rb 0.0000 0.0000 0.0000
Te 0.7500 0.7500 0.7500
W 0.2500 0.2500 0.2500

Output
total moment	1.66	μB per atom
ρ	5.6	g/cm3


Energetically preferred structure: version i | next structure: +0.559 eV/atom